## Ca2BeP (GGA-PBE)

Data for a relaxed Ca2BeP crystal.

Properties
- Energy of formation: -0.191 eV/atom
- ΔE to the lowest computed polymorph: 35.6 kJ per mole of atoms
- Raw total energy: -3.475 eV/atom
- SG: Fm-3m, No. 225

Geometry as POSCAR:
```
Ca2BeP
1.0
0.000 3.496 3.496
3.496 0.000 3.496
3.496 3.496 0.000
P Ca Be
1 2 1
direct
0.500 0.500 0.500
0.250 0.250 0.250
0.750 0.750 0.750
0.000 0.000 0.000
```

## YCo2TcS (GGA-PBE)

Data for a relaxed YCo2TcS crystal.

Properties
- ΔE_f (raw): 1.563 eV per atom
- Raw total energy: -5.471 eV/atom
- SG: P4/mmm, No. 123

Geometry as POSCAR:
```
YCo2TcS
1.0
-1.505 0.849 4.344
3.516 -3.055 1.815
2.964 3.602 0.322
Y S Co Tc
1 1 2 1
direct
0.000 0.000 0.000
0.000 0.500 0.000
0.000 0.000 0.500
0.500 0.000 0.000
0.500 0.500 0.500
```

## K4InNi (GGA-PBE)

Data for a relaxed K4InNi crystal.

Properties
- Energy of formation: 0.705 eV/atom
- Raw total energy: -1.447 eV/atom
- SG: F-43m, No. 216

Geometry as POSCAR:
```
K4InNi
1.0
-1.752 -3.382 6.003
-6.202 1.393 3.185
-5.189 -4.860 -0.043
K In Ni
4 1 1
direct
0.873 0.376 0.376
0.376 0.376 0.873
0.376 0.873 0.376
0.376 0.376 0.376
0.000 0.000 0.000
0.750 0.750 0.750
```

## CrNiC3 (GGA-PBE)

Data for a relaxed CrNiC3 crystal.

Properties
- Energy of formation: 1.921 eV/atom
- ΔE to the lowest computed polymorph: 0.0 kJ per mole of atoms
- Raw total energy: -6.694 eV/atom
- SG: Pm-3m, No. 221

Geometry as POSCAR:
```
CrNiC3
1.0
3.755 0.000 0.000
0.000 3.755 0.000
0.000 0.000 3.755
Ni C Cr
1 3 1
direct
0.500 0.500 0.500
0.000 0.500 0.000
0.000 0.000 0.500
0.500 0.000 0.000
0.000 0.000 0.000
```

## RbU2NiSe4 (GGA-PBE)

Data for a relaxed RbU2NiSe4 crystal.

Properties
- ΔE_f (raw): -1.037 eV per atom
- Raw total energy: -6.445 eV/atom
- SG: Cmcm, No. 63

Geometry as POSCAR:
```
RbU2NiSe4
1.0
4.053 0.000 0.000
-2.026 7.243 0.000
0.000 0.000 14.156
Rb U Ni Se
2 4 2 8
direct
0.102 0.203 0.750
0.898 0.797 0.250
0.364 0.729 0.562
0.636 0.271 0.062
0.636 0.271 0.438
0.364 0.729 0.938
0.833 0.665 0.750
0.167 0.335 0.250
0.265 0.530 0.114
0.735 0.470 0.614
0.735 0.470 0.886
0.265 0.530 0.386
0.000 0.000 0.500
0.000 0.000 0.000
0.422 0.845 0.750
0.578 0.155 0.250
```

## TlAgWS4 (GGA-PBE)

Data for a relaxed TlAgWS4 crystal.

Properties
- ΔE_f (raw): -0.367 eV per atom
- Raw total energy: -5.322 eV/atom
- SG: Cmcm, No. 63

Geometry as POSCAR:
```
TlAgWS4
1.0
7.469 0.297 0.000
-2.728 6.959 0.000
0.000 0.000 7.798
Tl Ag W S
2 2 2 8
direct
0.500 0.500 0.500
0.500 0.500 0.000
0.884 0.116 0.250
0.116 0.884 0.750
0.132 0.868 0.250
0.868 0.132 0.750
0.185 0.243 0.750
0.757 0.815 0.750
0.763 0.237 0.980
0.763 0.237 0.520
0.237 0.763 0.020
0.237 0.763 0.480
0.815 0.757 0.250
0.243 0.185 0.250
```

## CsYHgF6 (GGA-PBE)

Data for a relaxed CsYHgF6 crystal.

Properties
- ΔE_f (raw): -2.910 eV per atom
- Raw total energy: -5.004 eV/atom
- SG: Imma, No. 74

Geometry as POSCAR:
```
CsYHgF6
1.0
-0.046 -7.963 -2.941
-0.881 -2.729 7.402
-5.462 5.605 -2.840
Cs Y Hg F
2 2 2 12
direct
0.845 0.595 0.690
0.155 0.405 0.310
0.500 0.000 0.500
0.000 0.000 0.500
0.500 0.500 0.000
0.500 0.000 0.000
0.410 0.660 0.820
0.798 0.048 0.597
0.839 0.079 0.256
0.417 0.677 0.256
0.417 0.079 0.256
0.839 0.677 0.256
0.590 0.340 0.180
0.202 0.952 0.403
0.161 0.921 0.744
0.583 0.323 0.744
0.583 0.921 0.744
0.161 0.323 0.744
```

## K2RbNaAu2 (GGA-PBE)

Data for a relaxed K2RbNaAu2 crystal.

Properties
- Energy of formation: -0.209 eV/atom
- Raw total energy: -2.048 eV/atom
- SG: Pmc2_1, No. 26

Geometry as POSCAR:
```
K2RbNaAu2
1.0
-0.124 -2.332 4.567
8.201 2.312 1.403
-3.126 8.505 4.259
K Rb Na Au
4 2 2 4
direct
0.500 0.026 0.084
0.000 0.362 0.178
0.500 0.526 0.916
0.000 0.862 0.822
0.000 0.982 0.433
0.000 0.482 0.567
0.500 0.154 0.690
0.500 0.654 0.310
0.000 0.244 0.857
0.500 0.278 0.386
0.000 0.744 0.143
0.500 0.778 0.614
```